# RbMn2S2

Crystalline RbMn2S2 at its relaxed geometry (PBE, the Alexandria database).

Unit cell a=4.815 b=4.815 c=9.995 alpha=90.00 beta=90.00 gamma=90.00
Space group I4/mmm (No. 139)
One atom of each set of equivalent atoms:
Rb 0.000 0.000 0.000 x2
Mn 0.000 0.000 0.331 x4
S 0.000 0.500 0.250 x4

Magnetic moment: 1.80 μB per atom
Formation energy (no corrections): -0.334 eV/atom
Polymorph energy (0 for the lowest one): 0.000 eV per atom
Fermi-level density of states: 0.24 states/eV per atom